(1)
## CsRb2MgO (GGA-PBE)

Data for an optimized crystal structure of CsRb2MgO.

Size of the total moment   0.0 μB per formula unit
Formation energy without anion corrections   -399 meV per atom

Cell lengths 8.827, 3.826, 8.827 Å; angles 90.00, 90.00, 90.00 degrees
Element x y z (fractional)
Rb1 0.500 0.000 0.000
Rb2 0.000 0.000 0.500
O1 0.000 0.500 0.000
Mg1 0.000 0.000 0.000
Cs1 0.500 0.500 0.500

(2)
## CsRbMg6O7 (GGA-PBE)

Data for an optimized crystal structure of CsRbMg6O7.

Offset from the most stable computed form   0.00 eV per formula unit
Size of the total moment   0.0 μB per formula unit
Formation energy without anion corrections   -1687 meV per atom

Cell lengths 4.412, 4.412, 12.147 Å; angles 90.00, 90.00, 90.00 degrees
Element x y z (fractional)
Mg1 0.500 0.500 0.527
Mg2 0.000 0.000 0.538
Mg3 0.500 0.000 0.712
Mg4 0.000 0.500 0.712
Mg5 0.000 0.500 0.353
Mg6 0.500 0.000 0.353
O1 0.000 0.000 0.699
O2 0.500 0.000 0.902
O3 0.500 0.500 0.349
O4 0.000 0.500 0.902
O5 0.000 0.500 0.521
O6 0.500 0.000 0.521
O7 0.500 0.500 0.694
Cs1 0.500 0.500 0.918
Rb1 0.000 0.000 0.050

(3)
## CsMgRe2O8 (GGA-PBE)

Data for an optimized crystal structure of CsMgRe2O8.

Size of the total moment   1.1 μB per formula unit
Formation energy without anion corrections   -1888 meV per atom

Cell lengths 5.831, 5.831, 8.277 Å; angles 90.00, 90.00, 120.00 degrees
Element x y z (fractional)
Re1 0.333 0.667 0.716
Re2 0.667 0.333 0.284
O1 0.171 0.839 0.649
O2 0.667 0.333 0.070
O3 0.332 0.171 0.351
O4 0.839 0.668 0.351
O5 0.161 0.332 0.649
O6 0.333 0.667 0.930
O7 0.829 0.161 0.351
O8 0.668 0.829 0.649
Cs1 0.000 0.000 0.000
Mg1 0.000 0.000 0.500

(4)
## Cs2MgReO6 (GGA-PBE)

Data for an optimized crystal structure of Cs2MgReO6.

Size of the total moment   1.1 μB per formula unit
Formation energy without anion corrections   -1664 meV per atom

Cell lengths 5.332, 6.590, 6.590 Å; angles 120.00, 90.00, 90.00 degrees
Element x y z (fractional)
Mg1 0.500 0.000 0.000
O1 0.782 0.132 0.868
O2 0.782 0.132 0.264
O3 0.218 0.264 0.132
O4 0.782 0.736 0.868
O5 0.218 0.868 0.132
O6 0.218 0.868 0.736
Cs1 0.230 0.333 0.667
Cs2 0.770 0.667 0.333
Re1 0.000 0.000 0.000

(5)
## Cs2MgRhO4 (GGA-PBE)

Data for an optimized crystal structure of Cs2MgRhO4.

Size of the total moment   1.1 μB per formula unit
Formation energy without anion corrections   -1257 meV per atom

Cell lengths 5.588, 6.987, 11.062 Å; angles 84.20, 75.37, 66.43 degrees
Element x y z (fractional)
Mg1 0.750 0.500 0.500
Mg2 0.000 0.000 0.000
O1 0.125 0.330 0.424
O2 0.879 0.670 0.576
O3 0.205 0.170 0.924
O4 0.545 0.330 0.576
O5 0.625 0.170 0.076
O6 0.871 0.830 0.924
O7 0.298 0.830 0.076
O8 0.452 0.670 0.424
Rh1 0.250 0.500 0.500
Rh2 0.500 0.000 0.000
Cs1 0.823 0.000 0.354
Cs2 0.177 0.000 0.646
Cs3 0.927 0.500 0.146
Cs4 0.573 0.500 0.854

(6)
## CsMgS2O8 (GGA-PBE)

Data for an optimized crystal structure of CsMgS2O8.

Size of the total moment   1.1 μB per formula unit
Formation energy without anion corrections   -1714 meV per atom

Cell lengths 5.287, 5.287, 8.617 Å; angles 90.00, 90.00, 120.00 degrees
Element x y z (fractional)
O1 0.639 0.811 0.643
O2 0.189 0.828 0.643
O3 0.828 0.639 0.357
O4 0.333 0.667 0.871
O5 0.667 0.333 0.129
O6 0.172 0.361 0.643
O7 0.361 0.189 0.357
O8 0.811 0.172 0.357
S1 0.333 0.667 0.700
S2 0.667 0.333 0.300
Cs1 0.000 0.000 0.000
Mg1 0.000 0.000 0.500

Which calculated density belongs to each record? In order, 1.92; 3.34; 4.48; 4.74; 3.96; 2.78 g/cm³.
Which N(E_F) belongs to each record? In order, 0.82; 0.17; 0.58; 0.29; 0.23; 0.81 states/eV/atom.